(one)
BaRuPt2 | PBE | optimized geometry

Cell and atoms, written as POSCAR:
```
BaRuPt2
1.0
4.535 0.000 0.000
-2.268 3.928 0.000
0.000 0.000 16.881
Ba Ru Pt
3 3 6
Direct
0.000 0.000 0.000 Ba
0.333 0.667 0.667 Ba
0.667 0.333 0.333 Ba
0.000 0.000 0.183 Ru
0.333 0.667 0.849 Ru
0.667 0.333 0.516 Ru
0.000 0.000 0.512 Pt
0.000 0.000 0.813 Pt
0.333 0.667 0.178 Pt
0.333 0.667 0.480 Pt
0.667 0.333 0.147 Pt
0.667 0.333 0.845 Pt
```

Space group ... R3m, No. 160
M_tot ... 3.56 Bohr magnetons per cell
Theoretical density ... 10.4 g/cm3



(two)
BaRuPt2 | PBE | optimized geometry

Cell and atoms, written as POSCAR:
```
BaRuPt2
1.0
5.274 0.000 0.000
0.000 5.274 0.000
0.000 0.000 16.568
Ba Ru Pt
4 4 8
Direct
0.000 0.000 0.000 Ba
0.000 0.500 0.250 Ba
0.500 0.000 0.750 Ba
0.500 0.500 0.500 Ba
0.000 0.000 0.500 Ru
0.000 0.500 0.750 Ru
0.500 0.000 0.250 Ru
0.500 0.500 0.000 Ru
0.014 0.250 0.625 Pt
0.250 0.514 0.875 Pt
0.250 0.986 0.375 Pt
0.486 0.250 0.125 Pt
0.514 0.750 0.125 Pt
0.750 0.014 0.375 Pt
0.750 0.486 0.875 Pt
0.986 0.750 0.625 Pt
```

Space group ... I-42d, No. 122
M_tot ... 0.00 Bohr magnetons per cell
Theoretical density ... 9.1 g/cm3



So which one wins? Going from most stable to least: (one), (two).



(one)
BaRuPt2 | PBE | optimized geometry

Cell and atoms, written as POSCAR:
```
BaRuPt2
1.0
3.910 0.000 0.000
0.000 5.650 0.000
0.000 0.000 8.613
Ba Ru Pt
2 2 4
Direct
0.000 0.000 0.000 Ba
0.500 0.500 0.500 Ba
0.000 0.000 0.500 Ru
0.500 0.500 0.000 Ru
0.000 0.500 0.192 Pt
0.000 0.500 0.808 Pt
0.500 0.000 0.308 Pt
0.500 0.000 0.692 Pt
```

Space group ... Immm, No. 71
M_tot ... 4.25 Bohr magnetons per cell
Theoretical density ... 11.0 g/cm3



(two)
BaRuPt2 | PBE | optimized geometry

Cell and atoms, written as POSCAR:
```
BaRuPt2
1.0
2.964 0.000 0.000
0.000 4.486 0.000
-0.377 0.000 6.422
Ba Ru Pt
1 1 2
Direct
0.000 0.000 0.000 Ba
0.919 0.500 0.386 Ru
0.442 0.000 0.469 Pt
0.463 0.500 0.728 Pt
```

Space group ... Pm, No. 6
M_tot ... 0.00 Bohr magnetons per cell
Theoretical density ... 12.2 g/cm3



So which one wins? Going from most stable to least: (two), (one).



(one)
BaRuPt2 | PBE | optimized geometry

Cell and atoms, written as POSCAR:
```
BaRuPt2
1.0
4.440 0.000 0.000
0.000 4.440 0.000
0.000 0.000 8.220
Ba Ru Pt
2 2 4
Direct
0.000 0.000 0.000 Ba
0.500 0.500 0.500 Ba
0.000 0.500 0.250 Ru
0.500 0.000 0.750 Ru
0.000 0.000 0.500 Pt
0.000 0.500 0.750 Pt
0.500 0.000 0.250 Pt
0.500 0.500 0.000 Pt
```

Space group ... I-4m2, No. 119
M_tot ... 3.89 Bohr magnetons per cell
Theoretical density ... 12.9 g/cm3



(two)
BaRuPt2 | PBE | optimized geometry

Cell and atoms, written as POSCAR:
```
BaRuPt2
1.0
6.870 0.000 0.000
0.000 6.870 0.000
0.000 0.000 6.870
Ba Ru Pt
4 4 8
Direct
0.000 0.000 0.000 Ba
0.000 0.500 0.500 Ba
0.500 0.000 0.500 Ba
0.500 0.500 0.000 Ba
0.250 0.250 0.250 Ru
0.250 0.750 0.750 Ru
0.750 0.250 0.750 Ru
0.750 0.750 0.250 Ru
0.000 0.000 0.500 Pt
0.000 0.500 0.000 Pt
0.250 0.250 0.750 Pt
0.250 0.750 0.250 Pt
0.500 0.000 0.000 Pt
0.500 0.500 0.500 Pt
0.750 0.250 0.250 Pt
0.750 0.750 0.750 Pt
```

Space group ... F-43m, No. 216
M_tot ... 7.56 Bohr magnetons per cell
Theoretical density ... 12.9 g/cm3



(three)
BaRuPt2 | PBE | optimized geometry

Cell and atoms, written as POSCAR:
```
BaRuPt2
1.0
4.525 0.000 0.000
-2.262 3.919 0.000
0.000 0.000 16.849
Ba Ru Pt
3 3 6
Direct
0.000 0.000 0.000 Ba
0.333 0.667 0.667 Ba
0.667 0.333 0.333 Ba
0.000 0.000 0.500 Ru
0.333 0.667 0.167 Ru
0.667 0.333 0.833 Ru
0.000 0.000 0.189 Pt
0.000 0.000 0.811 Pt
0.333 0.667 0.478 Pt
0.333 0.667 0.855 Pt
0.667 0.333 0.145 Pt
0.667 0.333 0.522 Pt
```

Space group ... R-3m, No. 166
M_tot ... 4.25 Bohr magnetons per cell
Theoretical density ... 10.5 g/cm3



(four)
BaRuPt2 | PBE | optimized geometry

Cell and atoms, written as POSCAR:
```
BaRuPt2
1.0
3.352 0.000 0.000
0.000 3.352 0.000
0.000 0.000 7.460
Ba Ru Pt
1 1 2
Direct
0.000 0.000 0.000 Ba
0.000 0.000 0.500 Ru
0.500 0.500 0.321 Pt
0.500 0.500 0.679 Pt
```

Space group ... P4/mmm, No. 123
M_tot ... 0.20 Bohr magnetons per cell
Theoretical density ... 12.5 g/cm3



So which one wins? Going from most stable to least: (three), (four), (one), (two).



(one)
BaRuPt2 | PBE | optimized geometry

Cell and atoms, written as POSCAR:
```
BaRuPt2
1.0
3.012 0.000 0.000
0.000 5.258 0.000
0.000 0.000 10.455
Ba Ru Pt
2 2 4
Direct
0.000 0.000 0.000 Ba
0.500 0.500 0.500 Ba
0.000 0.500 0.218 Ru
0.500 0.000 0.718 Ru
0.000 0.000 0.507 Pt
0.000 0.500 0.780 Pt
0.500 0.000 0.280 Pt
0.500 0.500 0.007 Pt
```

Space group ... Imm2, No. 44
M_tot ... 3.18 Bohr magnetons per cell
Theoretical density ... 12.6 g/cm3



(two)
BaRuPt2 | PBE | optimized geometry

Cell and atoms, written as POSCAR:
```
BaRuPt2
1.0
5.220 0.000 0.000
0.000 5.220 0.000
0.000 0.000 2.987
Ba Ru Pt
1 1 2
Direct
0.000 0.000 0.000 Ba
0.500 0.500 0.000 Ru
0.000 0.500 0.500 Pt
0.500 0.000 0.500 Pt
```

Space group ... P4/mmm, No. 123
M_tot ... 0.82 Bohr magnetons per cell
Theoretical density ... 12.8 g/cm3



(three)
BaRuPt2 | PBE | optimized geometry

Cell and atoms, written as POSCAR:
```
BaRuPt2
1.0
6.130 0.000 0.000
0.000 8.542 0.000
0.000 0.000 3.024
Ba Ru Pt
2 2 4
Direct
0.000 0.000 0.000 Ba
0.500 0.500 0.000 Ba
0.000 0.500 0.000 Ru
0.500 0.000 0.000 Ru
0.250 0.250 0.500 Pt
0.250 0.750 0.500 Pt
0.750 0.250 0.500 Pt
0.750 0.750 0.500 Pt
```

Space group ... Cmmm, No. 65
M_tot ... 1.84 Bohr magnetons per cell
Theoretical density ... 13.2 g/cm3



(four)
BaRuPt2 | PBE | optimized geometry

Cell and atoms, written as POSCAR:
```
BaRuPt2
1.0
6.945 0.000 0.000
0.000 6.945 0.000
0.000 0.000 6.945
Ba Ru Pt
4 4 8
Direct
0.000 0.000 0.000 Ba
0.000 0.500 0.500 Ba
0.500 0.000 0.500 Ba
0.500 0.500 0.000 Ba
0.000 0.000 0.500 Ru
0.000 0.500 0.000 Ru
0.500 0.000 0.000 Ru
0.500 0.500 0.500 Ru
0.250 0.250 0.250 Pt
0.250 0.250 0.750 Pt
0.250 0.750 0.250 Pt
0.250 0.750 0.750 Pt
0.750 0.250 0.250 Pt
0.750 0.250 0.750 Pt
0.750 0.750 0.250 Pt
0.750 0.750 0.750 Pt
```

Space group ... Fm-3m, No. 225
M_tot ... 7.60 Bohr magnetons per cell
Theoretical density ... 12.5 g/cm3



So which one wins? Going from most stable to least: (one), (three), (two), (four).